Density functional theory data (GGA-PBE) for a geometry-optimized HoTm2Sc structure.

Lattice parameters (Å, degrees): 3.452 3.452 9.673 90.00 90.00 90.00
Space group P4/mmm (No. 123)
Unique sites:
Ho: 0.000 0.000 0.000 [1 per cell]
Tm: 0.500 0.500 0.260 [2 per cell]
Sc: 0.000 0.000 0.500 [1 per cell]

relative energy among the computed polymorphs = 17.7 meV/atom
energy relative to the elements = 42 meV per atom
crystal system = tetragonal
D(E_F) = 1.48 states/eV/atom